# NpMn6, relaxed, DFT PBE-GGA
data_NpMn6
_chemical_formula_sum 'Np2 Mn12'
_cell_length_a 6.061
_cell_length_b 6.061
_cell_length_c 6.061
_cell_angle_alpha 90.00
_cell_angle_beta 90.00
_cell_angle_gamma 90.00
_symmetry_space_group_name_H-M 'I m -3 m'
_symmetry_Int_Tables_number 229
_symmetry_space_group_name_Hall '-I 4 2 3'
loop_
_atom_site_label
_atom_site_type_symbol
_atom_site_fract_x
_atom_site_fract_y
_atom_site_fract_z
Np1 Np 0.000 0.000 0.000
Mn1 Mn 0.000 0.250 0.500
# Formation energy: 883 meV per atom
# Fermi-level density of states: 2.89 states/eV per atom

=====

# VFe2Rh2, relaxed, DFT PBE-GGA
data_VFe2Rh2
_chemical_formula_sum 'V4 Fe8 Rh8'
_cell_length_a 8.969
_cell_length_b 4.608
_cell_length_c 6.824
_cell_angle_alpha 90.00
_cell_angle_beta 111.88
_cell_angle_gamma 90.00
_symmetry_space_group_name_H-M 'C 1 2/c 1'
_symmetry_Int_Tables_number 15
loop_
_symmetry_equiv_pos_as_xyz
'x,y,z'
'-x,-y,-z'
'-x,y,-z+1/2'
'x,-y,z+1/2'
'x+1/2,y+1/2,z'
'-x+1/2,-y+1/2,-z'
'-x+1/2,y+1/2,-z+1/2'
'x+1/2,-y+1/2,z+1/2'
loop_
_atom_site_label
_atom_site_type_symbol
_atom_site_fract_x
_atom_site_fract_y
_atom_site_fract_z
V1 V 0.000 0.172 0.250
Fe1 Fe 0.102 0.350 0.949
Rh1 Rh 0.191 0.159 0.650
# Formation energy: -144 meV per atom
# Fermi-level density of states: 1.22 states/eV per atom

=====

# Tl2TcMo, relaxed, DFT PBE-GGA
data_Tl2TcMo
_chemical_formula_sum 'Tl4 Tc2 Mo2'
_cell_length_a 3.139
_cell_length_b 5.185
_cell_length_c 9.553
_cell_angle_alpha 90.00
_cell_angle_beta 90.00
_cell_angle_gamma 90.00
_symmetry_space_group_name_H-M 'C m m m'
_symmetry_Int_Tables_number 65
_symmetry_space_group_name_Hall '-C 2 2'
loop_
_atom_site_label
_atom_site_type_symbol
_atom_site_fract_x
_atom_site_fract_y
_atom_site_fract_z
Tl1 Tl 0.000 0.000 0.245
Tc1 Tc 0.000 0.500 0.000
Mo1 Mo 0.000 0.500 0.500
# Formation energy: 897 meV per atom
# Fermi-level density of states: 0.81 states/eV per atom

=====

# La2NdN2, relaxed, DFT PBE-GGA
data_La2NdN2
_chemical_formula_sum 'La6 Nd3 N6'
_cell_length_a 3.6686
_cell_length_b 3.6686
_cell_length_c 28.9695
_cell_angle_alpha 90.00
_cell_angle_beta 90.00
_cell_angle_gamma 120.00
_symmetry_space_group_name_H-M 'R -3 m'
_symmetry_Int_Tables_number 166
_symmetry_space_group_name_Hall '-R 3 2"'
loop_
_atom_site_label
_atom_site_type_symbol
_atom_site_fract_x
_atom_site_fract_y
_atom_site_fract_z
La1 La 0.0000 0.0000 0.2339
Nd1 Nd 0.0000 0.0000 0.0000
N1 N 0.0000 0.0000 0.3876
# Formation energy (no corrections): -1.0978 eV/atom
# Fermi-level density of states: 0.57 states/eV per atom

=====

# CeCrP, relaxed, DFT PBE-GGA
data_CeCrP
_chemical_formula_sum 'Ce2 Cr2 P2'
_cell_length_a 3.996
_cell_length_b 3.996
_cell_length_c 6.743
_cell_angle_alpha 90.00
_cell_angle_beta 90.00
_cell_angle_gamma 90.00
_symmetry_space_group_name_H-M 'P 4/n m m'
_symmetry_Int_Tables_number 129
loop_
_symmetry_equiv_pos_as_xyz
'x,y,z'
'-x,-y,-z'
'-y+1/2,x,z'
'y+1/2,-x,-z'
'-x+1/2,-y+1/2,z'
'x+1/2,y+1/2,-z'
'y,-x+1/2,z'
'-y,x+1/2,-z'
'x+1/2,-y,-z'
'-x+1/2,y,z'
'-y,-x,-z'
'y,x,z'
'-x,y+1/2,-z'
'x,-y+1/2,z'
'y+1/2,x+1/2,-z'
'-y+1/2,-x+1/2,z'
loop_
_atom_site_label
_atom_site_type_symbol
_atom_site_fract_x
_atom_site_fract_y
_atom_site_fract_z
Ce1 Ce 0.250 0.250 0.176
Cr1 Cr 0.250 0.750 0.500
P1 P 0.250 0.250 0.691
# Formation energy: -741 meV per atom
# Fermi-level density of states: 1.68 states/eV per atom

=====

# KLiSnHg2, relaxed, DFT PBE-GGA
data_KLiSnHg2
_chemical_formula_sum 'K1 Li1 Sn1 Hg2'
_cell_length_a 5.808
_cell_length_b 5.808
_cell_length_c 5.325
_cell_angle_alpha 90.00
_cell_angle_beta 90.00
_cell_angle_gamma 90.00
_symmetry_space_group_name_H-M 'P 4/m m m'
_symmetry_Int_Tables_number 123
_symmetry_space_group_name_Hall '-P 4 2'
loop_
_atom_site_label
_atom_site_type_symbol
_atom_site_fract_x
_atom_site_fract_y
_atom_site_fract_z
K1 K 0.000 0.000 0.000
Li1 Li 0.500 0.500 0.000
Sn1 Sn 0.500 0.500 0.500
Hg1 Hg 0.000 0.500 0.500
# Formation energy: -89 meV per atom
# Fermi-level density of states: 0.80 states/eV per atom

=====

# LiCaMg4, relaxed, DFT PBE-GGA
data_LiCaMg4
_chemical_formula_sum 'Li4 Ca4 Mg16'
_cell_length_a 4.606
_cell_length_b 17.808
_cell_length_c 7.447
_cell_angle_alpha 90.00
_cell_angle_beta 90.00
_cell_angle_gamma 90.00
_symmetry_space_group_name_H-M 'C m c m'
_symmetry_Int_Tables_number 63
_symmetry_space_group_name_Hall '-C 2c 2'
loop_
_atom_site_label
_atom_site_type_symbol
_atom_site_fract_x
_atom_site_fract_y
_atom_site_fract_z
Li1 Li 0.000 0.231 0.250
Ca1 Ca 0.000 0.120 0.750
Mg1 Mg 0.000 0.074 0.250
Mg2 Mg 0.000 0.321 0.552
Mg3 Mg 0.000 0.500 0.000
# Formation energy: 4 meV per atom
# Fermi-level density of states: 0.59 states/eV per atom

=====

# Sc2TcMo, relaxed, DFT PBE-GGA
data_Sc2TcMo
_chemical_formula_sum 'Sc2 Tc1 Mo1'
_cell_length_a 3.166
_cell_length_b 3.166
_cell_length_c 7.590
_cell_angle_alpha 90.00
_cell_angle_beta 90.00
_cell_angle_gamma 90.00
_symmetry_space_group_name_H-M 'P 4 m m'
_symmetry_Int_Tables_number 99
loop_
_symmetry_equiv_pos_as_xyz
'x,y,z'
'-y,x,z'
'-x,-y,z'
'y,-x,z'
'-x,y,z'
'y,x,z'
'x,-y,z'
'-y,-x,z'
loop_
_atom_site_label
_atom_site_type_symbol
_atom_site_fract_x
_atom_site_fract_y
_atom_site_fract_z
Sc1 Sc 0.000 0.000 0.000
Sc2 Sc 0.500 0.500 0.345
Tc1 Tc 0.000 0.000 0.569
Mo1 Mo 0.500 0.500 0.760
# Formation energy: -123 meV per atom
# Fermi-level density of states: 0.65 states/eV per atom

=====

# UTe2S6, relaxed, DFT PBE-GGA
data_UTe2S6
_chemical_formula_sum 'U3 Te6 S18'
_cell_length_a 7.1413
_cell_length_b 7.1413
_cell_length_c 18.8335
_cell_angle_alpha 90.00
_cell_angle_beta 90.00
_cell_angle_gamma 120.00
_symmetry_space_group_name_H-M 'R 3'
_symmetry_Int_Tables_number 146
_symmetry_space_group_name_Hall 'R 3'
loop_
_atom_site_label
_atom_site_type_symbol
_atom_site_fract_x
_atom_site_fract_y
_atom_site_fract_z
U1 U 0.0000 0.0000 0.0000
Te1 Te 0.0000 0.0000 0.2461
Te2 Te 0.0000 0.0000 0.4227
S1 S 0.0014 0.6943 0.9296
S2 S 0.0047 0.3047 0.0731
# Formation energy (no corrections): -0.2617 eV/atom

=====

# Nd2Tm8Sc3, relaxed, DFT PBE-GGA
data_Nd2Tm8Sc3
_chemical_formula_sum 'Nd2 Tm8 Sc3'
_cell_length_a 6.002
_cell_length_b 6.021
_cell_length_c 10.944
_cell_angle_alpha 90.00
_cell_angle_beta 100.51
_cell_angle_gamma 99.61
_symmetry_space_group_name_H-M 'P -1'
_symmetry_Int_Tables_number 2
loop_
_symmetry_equiv_pos_as_xyz
'x,y,z'
'-x,-y,-z'
loop_
_atom_site_label
_atom_site_type_symbol
_atom_site_fract_x
_atom_site_fract_y
_atom_site_fract_z
Nd1 Nd 0.116 0.269 0.461
Tm1 Tm 0.040 0.418 0.147
Tm2 Tm 0.193 0.122 0.780
Tm3 Tm 0.346 0.807 0.377
Tm4 Tm 0.425 0.660 0.702
Sc1 Sc 0.273 0.962 0.073
Sc2 Sc 0.500 0.500 0.000
# Formation energy: 48 meV per atom
# Fermi-level density of states: 1.59 states/eV per atom

=====

# HfGaIr2Au, relaxed, DFT PBE-GGA
data_HfGaIr2Au
_chemical_formula_sum 'Hf1 Ga1 Ir2 Au1'
_cell_length_a 4.948
_cell_length_b 4.948
_cell_length_c 4.886
_cell_angle_alpha 90.00
_cell_angle_beta 90.00
_cell_angle_gamma 90.00
_symmetry_space_group_name_H-M 'P 4/m m m'
_symmetry_Int_Tables_number 123
_symmetry_space_group_name_Hall '-P 4 2'
loop_
_atom_site_label
_atom_site_type_symbol
_atom_site_fract_x
_atom_site_fract_y
_atom_site_fract_z
Hf1 Hf 0.000 0.000 0.000
Ga1 Ga 0.500 0.500 0.000
Ir1 Ir 0.000 0.500 0.500
Au1 Au 0.000 0.000 0.500
# Formation energy: 1459 meV per atom
# Fermi-level density of states: 1.11 states/eV per atom

=====

# NdZnAg, relaxed, DFT PBE-GGA
data_NdZnAg
_chemical_formula_sum 'Nd2 Zn2 Ag2'
_cell_length_a 5.190
_cell_length_b 5.240
_cell_length_c 5.640
_cell_angle_alpha 90.00
_cell_angle_beta 117.32
_cell_angle_gamma 90.00
_symmetry_space_group_name_H-M 'P 1 21/m 1'
_symmetry_Int_Tables_number 11
loop_
_symmetry_equiv_pos_as_xyz
'x,y,z'
'-x,-y,-z'
'-x,y+1/2,-z'
'x,-y+1/2,z'
loop_
_atom_site_label
_atom_site_type_symbol
_atom_site_fract_x
_atom_site_fract_y
_atom_site_fract_z
Nd1 Nd 0.249 0.250 0.002
Zn1 Zn 0.439 0.750 0.370
Ag1 Ag 0.068 0.750 0.626
# Formation energy: -193 meV per atom
# Fermi-level density of states: 0.46 states/eV per atom